# 1
Computed, not measured: a relaxed Sc2Ag2Au crystal at the PBE level of DFT.

a = 7.508 Å, b = 7.508 Å, c = 3.786 Å
α = 90.00°, β = 90.00°, γ = 90.00°
Space group P4/mbm (No. 127)
Unique sites:
Sc 0.160 0.340 0.000
Ag 0.135 0.635 0.500
Au 0.000 0.000 0.000

Calculated values
crystal system	tetragonal
energy of formation from the pure elements	-0.1477	eV per atom

---

# 2
Computed, not measured: a relaxed Sc2Ag2Au crystal at the PBE level of DFT.

a = 3.725 Å, b = 3.725 Å, c = 15.483 Å
α = 90.00°, β = 90.00°, γ = 90.00°
Space group I4/mmm (No. 139)
Unique sites:
Sc 0.000 0.000 0.097
Ag 0.000 0.500 0.250
Au 0.000 0.000 0.500

Calculated values
crystal system	tetragonal
energy of formation from the pure elements	-0.1406	eV per atom

---

# 3
Computed, not measured: a relaxed Sc4Ag2Au crystal at the PBE level of DFT.

a = 4.7828 Å, b = 4.7828 Å, c = 23.1867 Å
α = 90.00°, β = 90.00°, γ = 120.00°
Space group R-3m (No. 166, hexagonal axes)
Unique sites:
Sc 0.0000 0.0000 0.1212
Sc 0.0000 0.0000 0.3725
Ag 0.0000 0.0000 0.2492
Au 0.0000 0.0000 0.5000

Calculated values
crystal system	trigonal
energy of formation from the pure elements	-0.2687	eV per atom

---

# 4
Computed, not measured: a relaxed Sc3AgAu crystal at the PBE level of DFT.

a = 5.167 Å, b = 5.167 Å, c = 5.167 Å
α = 90.00°, β = 90.00°, γ = 90.00°
Space group Pm-3m (No. 221)
Unique sites:
Sc 0.000 0.000 0.500
Ag 0.500 0.500 0.500
Au 0.000 0.000 0.000

Calculated values
crystal system	cubic
energy of formation from the pure elements	0.1306	eV per atom

---

# 5
Computed, not measured: a relaxed ScAgAu2 crystal at the PBE level of DFT.

a = 6.669 Å, b = 6.669 Å, c = 6.669 Å
α = 90.00°, β = 90.00°, γ = 90.00°
Space group F-43m (No. 216)
Unique sites:
Sc 0.000 0.000 0.000
Ag 0.250 0.250 0.750
Au 0.000 0.000 0.500
Au 0.250 0.250 0.250

Calculated values
crystal system	cubic
energy of formation from the pure elements	-0.4501	eV per atom

---

# 6
Computed, not measured: a relaxed Sc2Ag2Au crystal at the PBE level of DFT.

a = 5.285 Å, b = 5.285 Å, c = 7.935 Å
α = 90.00°, β = 90.00°, γ = 90.00°
Space group I4/mmm (No. 139)
Unique sites:
Sc 0.000 0.500 0.250
Ag 0.000 0.000 0.156
Au 0.000 0.000 0.500

Calculated values
crystal system	tetragonal
energy of formation from the pure elements	0.0082	eV per atom

---

# 7
Computed, not measured: a relaxed ScAgAu2 crystal at the PBE level of DFT.

a = 3.3072 Å, b = 3.3072 Å, c = 25.5040 Å
α = 90.00°, β = 90.00°, γ = 120.00°
Space group R3m (No. 160, hexagonal axes)
Unique sites:
Sc 0.0000 0.0000 0.0000
Ag 0.0000 0.0000 0.7527
Au 0.0000 0.0000 0.2555
Au 0.0000 0.0000 0.5032

Calculated values
crystal system	trigonal
energy of formation from the pure elements	-0.1663	eV per atom

---

# 8
Computed, not measured: a relaxed Sc3Ag3Au2 crystal at the PBE level of DFT.

a = 7.3648 Å, b = 7.3648 Å, c = 3.4140 Å
α = 90.00°, β = 90.00°, γ = 120.00°
Space group P-62m (No. 189)
Unique sites:
Sc 0.0000 0.5941 0.0000
Ag 0.0000 0.2262 0.5000
Au 0.3333 0.6667 0.5000

Calculated values
crystal system	hexagonal
energy of formation from the pure elements	-0.4791	eV per atom